Run 1
The following is a DFT calculation (PBE) of an optimized crystal structure of Y4P5.

a b c (Å): 8.536 8.536 5.884
angles (deg): 90.00 90.00 120.00
Positions (direct):
1 Y 0.000 0.000 0.000
2 Y 0.000 0.000 0.500
3 Y 0.000 0.386 0.250
4 Y 0.614 0.614 0.250
5 Y 0.386 0.000 0.250
6 Y 0.000 0.614 0.750
7 Y 0.386 0.386 0.750
8 Y 0.614 0.000 0.750
9 P 0.000 0.727 0.250
10 P 0.273 0.273 0.250
11 P 0.727 0.000 0.250
12 P 0.000 0.273 0.750
13 P 0.727 0.727 0.750
14 P 0.273 0.000 0.750
15 P 0.667 0.333 0.000
16 P 0.333 0.667 0.500
17 P 0.333 0.667 0.000
18 P 0.667 0.333 0.500

Computed properties:
The density of states at the Fermi level comes out at 11.9 states/eV/cell.

Run 2
The following is a DFT calculation (PBE) of an optimized crystal structure of Y4P5.

a b c (Å): 7.315 7.315 7.315
angles (deg): 94.44 94.44 147.69
Positions (direct):
1 Y 0.267 0.000 0.267
2 Y 0.733 0.000 0.733
3 Y 0.000 0.733 0.733
4 Y 0.000 0.267 0.267
5 P 0.000 0.000 0.000
6 P 0.294 0.706 0.000
7 P 0.706 0.294 0.000
8 P 0.706 0.706 0.412
9 P 0.294 0.294 0.588

Computed properties:
The density of states at the Fermi level comes out at 4.6 states/eV/cell.

Which is more stable than every other structure shown? run 1 is more stable than every other one.